No. 1
ErThSc14 after structural relaxation. Source: the Alexandria database, functional PBE-GGA.

abc: 6.6787 6.6787 10.4509
angles: 90.00 90.00 119.65
With the nearest neighbours (Å) after each atom.
Fractional positions:
Sc  0.1686  0.3342  0.0000  8 Sc 3.27-3.38, 2 Th 3.31-3.37, 2 Er 3.31-3.37
Sc  0.8352  0.1648  0.2559  11 Sc 3.20-3.36, 1 Er 3.32
Sc  0.8352  0.1648  0.7441  11 Sc 3.20-3.36, 1 Er 3.32
Sc  0.6658  0.8332  0.5000  12 Sc 3.19-3.36
Sc  0.1668  0.3342  0.5000  12 Sc 3.19-3.36
Sc  0.3321  0.1650  0.2573  10 Sc 3.18-3.38, 1 Th 3.30, 1 Er 3.31
Sc  0.8350  0.6679  0.7427  10 Sc 3.18-3.38, 1 Th 3.30, 1 Er 3.31
Sc  0.3334  0.6666  0.2527  11 Sc 3.22-3.36, 1 Th 3.29
Sc  0.1666  0.8334  0.5000  12 Sc 3.18-3.36
Sc  0.6658  0.8314  0.0000  8 Sc 3.27-3.38, 2 Th 3.31-3.37, 2 Er 3.31-3.37
Sc  0.3334  0.6666  0.7473  11 Sc 3.22-3.36, 1 Th 3.29
Sc  0.3321  0.1650  0.7427  10 Sc 3.18-3.38, 1 Th 3.30, 1 Er 3.31
Sc  0.8350  0.6679  0.2573  10 Sc 3.18-3.38, 1 Th 3.30, 1 Er 3.31
Sc  0.6668  0.3332  0.5000  12 Sc 3.19-3.36
Er  0.6649  0.3351  0.0000  10 Sc 3.31-3.37, 2 Th 3.36
Th  0.1633  0.8367  0.0000  10 Sc 3.29-3.37, 2 Er 3.36

Its total DFT energy (no corrections) is -6.2801 eV per atom. For the density of states at the Fermi level, the calculation gives 27.4 states/eV/cell.


No. 2
ScCoPt after structural relaxation. Source: the Alexandria database, functional PBE-GGA.

abc: 4.3164 4.3164 2.9768
angles: 90.00 90.00 120.00
With the nearest neighbours (Å) after each atom.
Fractional positions:
Sc  0.3333  0.6667  0.6665  6 Co 2.90, 6 Pt 2.90, 2 Sc 2.98
Pt  0.6667  0.3333  0.1666  3 Co 2.49
Co  0.0000  0.0000  0.1669  3 Pt 2.49

Its total DFT energy (no corrections) is -6.9977 eV per atom. For the density of states at the Fermi level, the calculation gives 3.1 states/eV/cell.


No. 3
CeNd2Br8 after structural relaxation. Source: the Alexandria database, functional PBE-GGA.

abc: 5.8180 8.0104 8.0104
angles: 111.26 99.03 99.03
With the nearest neighbours (Å) after each atom.
Fractional positions:
Ce  0.5000  0.0000  0.0000  4 Br 3.09-3.20
Br  0.5000  0.7662  0.2338  1 Ce 3.09, 2 Nd 3.11
Br  0.5000  0.2338  0.7662  1 Ce 3.09, 2 Nd 3.11
Br  0.0839  0.3232  0.0654  2 Nd 3.00-3.02
Br  0.6811  0.3681  0.3681  2 Nd 3.08, 1 Ce 3.20
Br  0.9161  0.9346  0.6768  2 Nd 3.00-3.02
Br  0.9161  0.6768  0.9346  2 Nd 3.00-3.02
Br  0.3189  0.6319  0.6319  2 Nd 3.08, 1 Ce 3.20
Br  0.0839  0.0654  0.3232  2 Nd 3.00-3.02
Nd  0.0000  0.3168  0.6832  8 Br 3.00-3.11
Nd  0.0000  0.6832  0.3168  8 Br 3.00-3.11

Its total DFT energy (no corrections) is -4.3010 eV per atom. For the density of states at the Fermi level, the calculation gives 13.0 states/eV/cell. The formation energy from raw total energies is -1678 meV per atom.


No. 4
PmCoNiH6 after structural relaxation. Source: the Alexandria database, functional PBE-GGA.

abc: 4.4374 4.4374 4.1815
angles: 90.00 90.00 60.00
With the nearest neighbours (Å) after each atom.
Fractional positions:
Co  0.3333  0.3333  0.5000  6 H 1.61
H  0.4951  0.0096  0.2544  1 Co 1.61, 1 Ni 1.67
H  0.0096  0.4952  0.7456  1 Co 1.61, 1 Ni 1.67
H  0.4951  0.4953  0.7456  1 Co 1.61, 1 Ni 1.67
H  0.4952  0.0096  0.7456  1 Co 1.61, 1 Ni 1.67
H  0.4952  0.4952  0.2543  1 Co 1.61, 1 Ni 1.67
H  0.0096  0.4953  0.2543  1 Co 1.61, 1 Ni 1.67
Pm  0.0000  0.0000  0.0000  12 H 2.46
Ni  0.6666  0.6667  0.5000  6 H 1.67

Its total DFT energy (no corrections) is -4.5539 eV per atom. For the density of states at the Fermi level, the calculation gives 5.1 states/eV/cell.


No. 5
Ba2Hg2As after structural relaxation. Source: the Alexandria database, functional PBE-GGA.

abc: 6.6109 6.6109 6.3304
angles: 58.52 58.52 90.00
With the nearest neighbours (Å) after each atom.
Fractional positions:
As  0.0000  0.0000  0.0000  2 Hg 2.87
Ba  0.7500  0.2500  0.5000  4 Hg 3.39
Ba  0.2500  0.7500  0.5000  4 Hg 3.39
Hg  0.6640  0.6640  0.6720  1 Hg 2.80, 1 As 2.87
Hg  0.3360  0.3360  0.3280  1 Hg 2.80, 1 As 2.87

Its total DFT energy (no corrections) is -2.1669 eV per atom. For the density of states at the Fermi level, the calculation gives 4.7 states/eV/cell. The calculation puts the relative energy among the computed polymorphs at 6.14 kcal/mol of atoms.


No. 6
NaRhAu3 after structural relaxation. Source: the Alexandria database, functional PBE-GGA.

abc: 5.0881 5.0881 5.0881
angles: 90.00 90.00 90.00
With the nearest neighbours (Å) after each atom.
Fractional positions:
Na  0.5000  0.5000  0.5000  12 Au 3.60
Au  0.0000  0.5000  0.0000  2 Rh 2.54
Au  0.0000  0.0000  0.5000  2 Rh 2.54
Au  0.5000  0.0000  0.0000  2 Rh 2.54
Rh  0.0000  0.0000  0.0000  6 Au 2.54

Its total DFT energy (no corrections) is -3.2712 eV per atom. For the density of states at the Fermi level, the calculation gives 6.0 states/eV/cell. The calculation puts the relative energy among the computed polymorphs at 0.00 kcal/mol of atoms.


Q: Which value of total DFT energy (no corrections) does entry 1 give?
A: -6.2801 eV per atom


Q: Look up the total DFT energy (no corrections) of the third one.
A: -4.3010 eV per atom